Material: BeFe2Au
Method: DFT, GGA-PBE
State: relaxed

Cell: 8.4633 8.4633 8.4633 Å, 18.11 18.11 18.11°
Closest atoms and distances in Å follow each position.
Atoms (fractional coordinates):
Be 0.7500 0.7500 0.7500  6 Fe 2.38, 6 Be 2.66
Au 0.2500 0.2500 0.2500  6 Au 2.66, 6 Fe 2.80
Fe 0.0105 0.0105 0.0105  3 Be 2.38, 6 Fe 2.66
Fe 0.4895 0.4895 0.4895  3 Be 2.38, 6 Fe 2.66

Values from the calculation:
- Symmetry: R-3m
- V: 51 Å³/cell
- DFT formation energy: 1.0 eV per formula unit

Material: BeFe2Au
Method: DFT, GGA-PBE
State: relaxed

Cell: 2.9371 2.9344 6.4210 Å, 62.79 90.00 90.00°
Closest atoms and distances in Å follow each position.
Atoms (fractional coordinates):
Be 0.5000 0.7185 0.7812  5 Fe 2.40-2.43, 4 Au 2.55
Au 0.0000 0.4791 0.5211  4 Be 2.55, 5 Fe 2.68-2.74
Fe 0.0000 0.0088 0.9910  4 Be 2.40, 4 Fe 2.41, 1 Au 2.68
Fe 0.5000 0.2936 0.2067  4 Fe 2.41, 1 Be 2.43

Values from the calculation:
- Symmetry: P4mm
- V: 49 Å³/cell
- DFT formation energy: 0.0 eV per formula unit

Material: BeFe2Au
Method: DFT, GGA-PBE
State: relaxed

Cell: 4.3778 4.3775 4.3762 Å, 128.45 128.37 75.99°
Closest atoms and distances in Å follow each position.
Atoms (fractional coordinates):
Be 0.7500 0.2499 0.5000  4 Au 2.57, 8 Fe 2.57-2.70
Au 0.5002 0.5001 0.0000  4 Be 2.57, 8 Fe 2.57-2.70
Fe 0.9999 0.9999 0.9999  4 Be 2.57, 4 Fe 2.57, 4 Au 2.69-2.70
Fe 0.2499 0.7500 0.5000  4 Fe 2.57, 4 Au 2.57, 4 Be 2.69-2.70

Values from the calculation:
- Symmetry: I-4m2
- V: 50 Å³/cell
- DFT formation energy: 0.4 eV per formula unit

Material: BeFe3Au
Method: DFT, GGA-PBE
State: relaxed

Cell: 4.7191 4.7191 4.7191 Å, 90.00 90.00 90.00°
Closest atoms and distances in Å follow each position.
Atoms (fractional coordinates):
Be 0.5000 0.5000 0.5000  12 Fe 3.34
Au 0.0000 0.0000 0.0000  6 Fe 2.36
Fe 0.0000 0.5000 0.0000  2 Au 2.36
Fe 0.0000 0.0000 0.5000  2 Au 2.36
Fe 0.5000 0.0000 0.0000  2 Au 2.36

Values from the calculation:
- Relative energy among the computed polymorphs: 1227 meV per atom
- Symmetry: Pm-3m
- V: 105 Å³/cell
- DFT formation energy: 8.4 eV per formula unit

Material: BeFe2Au
Method: DFT, GGA-PBE
State: relaxed

Cell: 4.3459 4.3459 4.5377 Å, 74.55 74.55 38.00°
Closest atoms and distances in Å follow each position.
Atoms (fractional coordinates):
Be 0.2572 0.2572 0.2357  4 Fe 2.38-2.47, 3 Au 2.44-2.61
Au 0.5132 0.5132 0.4697  3 Be 2.44-2.61, 7 Fe 2.63-2.73
Fe 0.9899 0.9899 0.9940  2 Be 2.38, 3 Fe 2.44-2.45, 2 Au 2.63
Fe 0.7397 0.7397 0.8005  3 Fe 2.44-2.45, 2 Be 2.47, 3 Au 2.70-2.72

Values from the calculation:
- Symmetry: Cm
- V: 51 Å³/cell
- DFT formation energy: 0.4 eV per formula unit

Material: BeFe2HAu
Method: DFT, GGA-PBE
State: relaxed

Cell: 3.5628 3.5628 4.0913 Å, 90.00 90.00 90.00°
Closest atoms and distances in Å follow each position.
Atoms (fractional coordinates):
Be 0.0000 0.0000 0.5000  2 H 2.05
Au 0.5000 0.5000 0.5000  4 Be 2.52, 8 Fe 2.71
Fe 0.0000 0.5000 0.0000  2 H 1.78
Fe 0.5000 0.0000 0.0000  2 H 1.78
H 0.0000 0.0000 0.0000  4 Fe 1.78

Values from the calculation:
- Symmetry: P4/mmm
- Uncorrected energy: -5.413 eV per atom
- V: 52 Å³/cell

Material: BeFe2IrAu
Method: DFT, GGA-PBE
State: relaxed

Cell: 3.9622 4.0900 3.9622 Å, 90.00 90.00 90.00°
Closest atoms and distances in Å follow each position.
Atoms (fractional coordinates):
Be 0.0000 0.0000 0.0000  4 Fe 1.98, 2 Ir 2.04
Ir 0.0000 0.5000 0.0000  2 Be 2.04
Au 0.5000 0.5000 0.5000  4 Ir 2.80, 8 Fe 2.85
Fe 0.0000 0.0000 0.5000  2 Be 1.98
Fe 0.5000 0.0000 0.0000  2 Be 1.98

Values from the calculation:
- Symmetry: P4/mmm
- V: 64 Å³/cell
- DFT formation energy: 3.4 eV per formula unit

Material: MnBeFeAu2
Method: DFT, GGA-PBE
State: relaxed

Cell: 4.8195 4.0163 4.8195 Å, 90.00 90.00 90.00°
Closest atoms and distances in Å follow each position.
Atoms (fractional coordinates):
Be 0.5000 0.5000 0.5000  8 Au 3.14, 4 Mn 3.41
Mn 0.0000 0.5000 0.0000  2 Fe 2.01
Au 0.0000 0.0000 0.5000  2 Fe 2.41
Au 0.5000 0.0000 0.0000  2 Fe 2.41
Fe 0.0000 0.0000 0.0000  2 Mn 2.01

Values from the calculation:
- Symmetry: P4/mmm
- V: 93 Å³/cell
- DFT formation energy: 5.8 eV per formula unit